# 1
First-principles (PBE) data for Ca3LaTl2 after structural relaxation, as listed in Alexandria.

Structure (CIF):
```
data_Ca3LaTl2
_chemical_formula_sum 'Ca6 La2 Tl4'
_symmetry_space_group_name_H-M 'P m c 21'
_symmetry_Int_Tables_number 26
_cell_length_a 5.336
_cell_length_b 9.960
_cell_length_c 7.410
_cell_angle_alpha 90.00
_cell_angle_beta 90.00
_cell_angle_gamma 90.00
loop_
_symmetry_equiv_pos_as_xyz
'x,y,z'
'-x,-y,z+1/2'
'-x,y,z'
'x,-y,z+1/2'
loop_
_atom_site_label
_atom_site_type_symbol
_atom_site_fract_x
_atom_site_fract_y
_atom_site_fract_z
_atom_site_occupancy
Ca1 Ca 0.000 0.060 0.000 1
Ca2 Ca 0.000 0.310 0.362 1
Ca3 Ca 0.500 0.177 0.697 1
La1 La 0.500 0.448 0.058 1
Tl1 Tl 0.000 0.365 0.803 1
Tl2 Tl 0.500 0.141 0.255 1
```

Calculated values
ΔH_f (0 K): -0.35 eV per atom


# 2
First-principles (PBE) data for Pm5Cd2Ge5 after structural relaxation, as listed in Alexandria.

Structure (CIF):
```
data_Pm5Cd2Ge5
_chemical_formula_sum 'Pm10 Cd4 Ge10'
_symmetry_space_group_name_H-M 'C 1 2/m 1'
_symmetry_Int_Tables_number 12
_cell_length_a 15.560
_cell_length_b 4.436
_cell_length_c 11.004
_cell_angle_alpha 90.00
_cell_angle_beta 128.70
_cell_angle_gamma 90.00
loop_
_symmetry_equiv_pos_as_xyz
'x,y,z'
'-x,-y,-z'
'-x,y,-z'
'x,-y,z'
'x+1/2,y+1/2,z'
'-x+1/2,-y+1/2,-z'
'-x+1/2,y+1/2,-z'
'x+1/2,-y+1/2,z'
loop_
_atom_site_label
_atom_site_type_symbol
_atom_site_fract_x
_atom_site_fract_y
_atom_site_fract_z
_atom_site_occupancy
Pm1 Pm 0.000 0.000 0.000 1
Pm2 Pm 0.097 0.000 0.420 1
Pm3 Pm 0.195 0.000 0.830 1
Cd1 Cd 0.144 0.500 0.258 1
Ge1 Ge 0.000 0.500 0.500 1
Ge2 Ge 0.072 0.500 0.867 1
Ge3 Ge 0.233 0.500 0.667 1
```

Calculated values
ΔH_f (0 K): -0.61 eV per atom


# 3
First-principles (PBE) data for SrSiPO2 after structural relaxation, as listed in Alexandria.

Structure (CIF):
```
data_SrSiPO2
_chemical_formula_sum 'Sr1 Si1 P1 O2'
_symmetry_space_group_name_H-M 'P 4/m m m'
_symmetry_Int_Tables_number 123
_symmetry_space_group_name_Hall '-P 4 2'
_cell_length_a 4.375
_cell_length_b 4.375
_cell_length_c 6.261
_cell_angle_alpha 90.00
_cell_angle_beta 90.00
_cell_angle_gamma 90.00
loop_
_atom_site_label
_atom_site_type_symbol
_atom_site_fract_x
_atom_site_fract_y
_atom_site_fract_z
_atom_site_occupancy
Sr1 Sr 0.000 0.000 0.000 1
Si1 Si 0.500 0.500 0.500 1
P1 P 0.000 0.000 0.500 1
O1 O 0.000 0.500 0.000 1
```

Calculated values
uncorrected formation energy: 1.85 eV per formula unit


# 4
First-principles (PBE) data for NdDy3Th2P6 after structural relaxation, as listed in Alexandria.

Structure (CIF):
```
data_NdDy3Th2P6
_chemical_formula_sum 'Nd2 Dy6 Th4 P12'
_symmetry_space_group_name_H-M 'C 1 2/m 1'
_symmetry_Int_Tables_number 12
_cell_length_a 17.764
_cell_length_b 4.090
_cell_length_c 8.143
_cell_angle_alpha 90.00
_cell_angle_beta 103.01
_cell_angle_gamma 90.00
loop_
_symmetry_equiv_pos_as_xyz
'x,y,z'
'-x,-y,-z'
'-x,y,-z'
'x,-y,z'
'x+1/2,y+1/2,z'
'-x+1/2,-y+1/2,-z'
'-x+1/2,y+1/2,-z'
'x+1/2,-y+1/2,z'
loop_
_atom_site_label
_atom_site_type_symbol
_atom_site_fract_x
_atom_site_fract_y
_atom_site_fract_z
_atom_site_occupancy
Nd1 Nd 0.000 0.000 0.000 1
Dy1 Dy 0.000 0.000 0.500 1
Dy2 Dy 0.166 0.500 0.834 1
Th1 Th 0.166 0.500 0.331 1
P1 P 0.001 0.500 0.743 1
P2 P 0.166 0.000 0.587 1
P3 P 0.169 0.000 0.080 1
```

Calculated values
ΔH_f (0 K): -1.59 eV per atom


# 5
First-principles (PBE) data for DyTmIn2Se4 after structural relaxation, as listed in Alexandria.

Structure (CIF):
```
data_DyTmIn2Se4
_chemical_formula_sum 'Dy1 Tm1 In2 Se4'
_symmetry_space_group_name_H-M 'P 1 2/m 1'
_symmetry_Int_Tables_number 10
_cell_length_a 7.142
_cell_length_b 4.125
_cell_length_c 8.107
_cell_angle_alpha 90.00
_cell_angle_beta 107.07
_cell_angle_gamma 90.00
loop_
_symmetry_equiv_pos_as_xyz
'x,y,z'
'-x,-y,-z'
'-x,y,-z'
'x,-y,z'
loop_
_atom_site_label
_atom_site_type_symbol
_atom_site_fract_x
_atom_site_fract_y
_atom_site_fract_z
_atom_site_occupancy
Dy1 Dy 0.000 0.000 0.000 1
Tm1 Tm 0.500 0.500 0.000 1
In1 In 0.000 0.500 0.500 1
In2 In 0.500 0.000 0.500 1
Se1 Se 0.239 0.500 0.207 1
Se2 Se 0.268 0.000 0.794 1
```

Calculated values
uncorrected formation energy: -10.36 eV per formula unit


# 6
First-principles (PBE) data for CrNi2Cl after structural relaxation, as listed in Alexandria.

Structure (CIF):
```
data_CrNi2Cl
_chemical_formula_sum 'Cr2 Ni4 Cl2'
_symmetry_space_group_name_H-M 'I m m m'
_symmetry_Int_Tables_number 71
_symmetry_space_group_name_Hall '-I 2 2'
_cell_length_a 2.801
_cell_length_b 4.313
_cell_length_c 8.610
_cell_angle_alpha 90.00
_cell_angle_beta 90.00
_cell_angle_gamma 90.00
loop_
_atom_site_label
_atom_site_type_symbol
_atom_site_fract_x
_atom_site_fract_y
_atom_site_fract_z
_atom_site_occupancy
Cr1 Cr 0.000 0.000 0.000 1
Ni1 Ni 0.000 0.500 0.244 1
Cl1 Cl 0.000 0.000 0.500 1
```

Calculated values
uncorrected formation energy: 1.74 eV per formula unit


# 7
First-principles (PBE) data for TiHgI3 after structural relaxation, as listed in Alexandria.

Structure (CIF):
```
data_TiHgI3
_chemical_formula_sum 'Ti1 Hg1 I3'
_symmetry_space_group_name_H-M 'P m -3 m'
_symmetry_Int_Tables_number 221
_symmetry_space_group_name_Hall '-P 4 2 3'
_cell_length_a 5.885
_cell_length_b 5.885
_cell_length_c 5.885
_cell_angle_alpha 90.00
_cell_angle_beta 90.00
_cell_angle_gamma 90.00
loop_
_atom_site_label
_atom_site_type_symbol
_atom_site_fract_x
_atom_site_fract_y
_atom_site_fract_z
_atom_site_occupancy
Ti1 Ti 0.000 0.000 0.000 1
Hg1 Hg 0.500 0.500 0.500 1
I1 I 0.000 0.500 0.500 1
```

Calculated values
uncorrected formation energy: 3.14 eV per formula unit


# 8
First-principles (PBE) data for PmAlSi2 after structural relaxation, as listed in Alexandria.

Structure (CIF):
```
data_PmAlSi2
_chemical_formula_sum 'Pm3 Al3 Si6'
_symmetry_space_group_name_H-M 'R -3 m'
_symmetry_Int_Tables_number 166
_symmetry_space_group_name_Hall '-R 3 2"'
_cell_length_a 4.2901
_cell_length_b 4.2901
_cell_length_c 14.9321
_cell_angle_alpha 90.00
_cell_angle_beta 90.00
_cell_angle_gamma 120.00
loop_
_atom_site_label
_atom_site_type_symbol
_atom_site_fract_x
_atom_site_fract_y
_atom_site_fract_z
_atom_site_occupancy
Pm1 Pm 0.0000 0.0000 0.0000 1
Al1 Al 0.0000 0.0000 0.5000 1
Si1 Si 0.0000 0.0000 0.2100 1
```

Calculated values
uncorrected formation energy: -1.36 eV per formula unit


# 9
First-principles (PBE) data for Er5Sb5H2 after structural relaxation, as listed in Alexandria.

Structure (CIF):
```
data_Er5Sb5H2
_chemical_formula_sum 'Er10 Sb10 H4'
_symmetry_space_group_name_H-M 'C 1 2/m 1'
_symmetry_Int_Tables_number 12
_cell_length_a 15.593
_cell_length_b 4.372
_cell_length_c 10.726
_cell_angle_alpha 90.00
_cell_angle_beta 120.87
_cell_angle_gamma 90.00
loop_
_symmetry_equiv_pos_as_xyz
'x,y,z'
'-x,-y,-z'
'-x,y,-z'
'x,-y,z'
'x+1/2,y+1/2,z'
'-x+1/2,-y+1/2,-z'
'-x+1/2,y+1/2,-z'
'x+1/2,-y+1/2,z'
loop_
_atom_site_label
_atom_site_type_symbol
_atom_site_fract_x
_atom_site_fract_y
_atom_site_fract_z
_atom_site_occupancy
Er1 Er 0.000 0.000 0.000 1
Er2 Er 0.095 0.000 0.407 1
Er3 Er 0.217 0.500 0.788 1
Sb1 Sb 0.000 0.500 0.500 1
Sb2 Sb 0.138 0.500 0.997 1
Sb3 Sb 0.194 0.500 0.318 1
H1 H 0.004 0.000 0.808 1
```


# 10
First-principles (PBE) data for In2OsPt after structural relaxation, as listed in Alexandria.

Structure (CIF):
```
data_In2OsPt
_chemical_formula_sum 'In4 Os2 Pt2'
_symmetry_space_group_name_H-M 'C 1 2/m 1'
_symmetry_Int_Tables_number 12
_cell_length_a 8.899
_cell_length_b 3.168
_cell_length_c 5.240
_cell_angle_alpha 90.00
_cell_angle_beta 102.51
_cell_angle_gamma 90.00
loop_
_symmetry_equiv_pos_as_xyz
'x,y,z'
'-x,-y,-z'
'-x,y,-z'
'x,-y,z'
'x+1/2,y+1/2,z'
'-x+1/2,-y+1/2,-z'
'-x+1/2,y+1/2,-z'
'x+1/2,-y+1/2,z'
loop_
_atom_site_label
_atom_site_type_symbol
_atom_site_fract_x
_atom_site_fract_y
_atom_site_fract_z
_atom_site_occupancy
In1 In 0.249 0.000 0.246 1
Os1 Os 0.000 0.500 0.000 1
Pt1 Pt 0.000 0.000 0.500 1
```

Calculated values
ΔH_f (0 K): 0.25 eV per atom


# 11
First-principles (PBE) data for CsLi2H after structural relaxation, as listed in Alexandria.

Structure (CIF):
```
data_CsLi2H
_chemical_formula_sum 'Cs4 Li8 H4'
_symmetry_space_group_name_H-M 'I 41/a m d'
_symmetry_Int_Tables_number 141
_cell_length_a 6.841
_cell_length_b 6.841
_cell_length_c 9.718
_cell_angle_alpha 90.00
_cell_angle_beta 90.00
_cell_angle_gamma 90.00
loop_
_symmetry_equiv_pos_as_xyz
'x,y,z'
'-x,-y,-z'
'-y+1/4,x+3/4,z+1/4'
'y+1/4,-x+3/4,-z+1/4'
'-x+1/2,-y,z+1/2'
'x+1/2,y,-z+1/2'
'y+1/4,-x+1/4,z+3/4'
'-y+1/4,x+1/4,-z+3/4'
'x,-y,-z'
'-x,y,z'
'-y+1/4,-x+1/4,-z+3/4'
'y+1/4,x+1/4,z+3/4'
'-x+1/2,y,-z+1/2'
'x+1/2,-y,z+1/2'
'y+1/4,x+3/4,-z+1/4'
'-y+1/4,-x+3/4,z+1/4'
'x+1/2,y+1/2,z+1/2'
'-x+1/2,-y+1/2,-z+1/2'
'-y+3/4,x+1/4,z+3/4'
'y+3/4,-x+1/4,-z+3/4'
'-x,-y+1/2,z'
'x,y+1/2,-z'
'y+3/4,-x+3/4,z+1/4'
'-y+3/4,x+3/4,-z+1/4'
'x+1/2,-y+1/2,-z+1/2'
'-x+1/2,y+1/2,z+1/2'
'-y+3/4,-x+3/4,-z+1/4'
'y+3/4,x+3/4,z+1/4'
'-x,y+1/2,-z'
'x,-y+1/2,z'
'y+3/4,x+1/4,-z+3/4'
'-y+3/4,-x+1/4,z+3/4'
loop_
_atom_site_label
_atom_site_type_symbol
_atom_site_fract_x
_atom_site_fract_y
_atom_site_fract_z
_atom_site_occupancy
Cs1 Cs 0.000 0.250 0.375 1
Li1 Li 0.000 0.000 0.000 1
H1 H 0.000 0.250 0.875 1
```


# 12
First-principles (PBE) data for HoAlTc after structural relaxation, as listed in Alexandria.

Structure (CIF):
```
data_HoAlTc
_chemical_formula_sum 'Ho1 Al1 Tc1'
_symmetry_space_group_name_H-M 'P -6 m 2'
_symmetry_Int_Tables_number 187
_symmetry_space_group_name_Hall 'P -6 2'
_cell_length_a 4.3520
_cell_length_b 4.3520
_cell_length_c 3.6691
_cell_angle_alpha 90.00
_cell_angle_beta 90.00
_cell_angle_gamma 120.00
loop_
_atom_site_label
_atom_site_type_symbol
_atom_site_fract_x
_atom_site_fract_y
_atom_site_fract_z
_atom_site_occupancy
Ho1 Ho 0.0000 0.0000 0.0000 1
Al1 Al 0.6667 0.3333 0.5000 1
Tc1 Tc 0.3333 0.6667 0.5000 1
```

Calculated values
ΔH_f (0 K): -0.18 eV per atom


Q: Which VASP energy values were calculated for the entries above? A: -2.958 -4.662 -4.115 -7.082 -4.856 -5.322 -1.942 -5.174 -4.841 -5.436 -1.876 -6.405, in eV per atom.